DFT (PBE) results for an optimized crystal structure of MgCoRe.

ΔH_f (0 K) = 155.1 meV/atom
Offset from the most stable computed form = 0.28 eV/f.u.
VASP energy = -0.25337 Ha/atom
Space-group type = P-1

Cell: 6.8931 5.2046 2.7117 Å, 106.91 91.59 72.37°
Fractional coordinates of all 6 atoms:
Re 0.6319 0.9554 0.8249
Re 0.6708 0.4078 0.4453
Mg 0.2662 0.3641 0.4997
Mg 0.0365 0.9991 0.7706
Co 0.9099 0.5935 0.0952
Co 0.3927 0.7697 0.1750